Material: Y2AlIn
Method: DFT, SCAN
State: PBEsol geometry

Lattice parameters (Å, degrees): 7.295 7.295 7.295 90.00 90.00 90.00
Space group F-43m (No. 216)
Asymmetric unit:
Y: 0.000 0.000 0.000 x4
Y: 0.250 0.250 0.250 x4
Al: 0.250 0.250 0.750 x4
In: 0.000 0.000 0.500 x4

Calculated values
* formation energy: 0.9 kJ/mol of atoms
* theoretical density: 5.47 g/cm3

***

Material: AlZn2Hg
Method: DFT, SCAN
State: PBEsol geometry

Lattice parameters (Å, degrees): 4.064 4.064 4.060 90.00 90.00 90.00
Space group P4/mmm (No. 123)
Asymmetric unit:
Al: 0.000 0.000 0.000 x1
Zn: 0.000 0.500 0.500 x2
Hg: 0.500 0.500 0.000 x1

Calculated values
* formation energy: 9.6 kJ/mol of atoms
* theoretical density: 8.87 g/cm3

***

Material: MgRh2N
Method: DFT, SCAN
State: PBEsol geometry

Lattice parameters (Å, degrees): 5.807 5.807 5.807 90.00 90.00 90.00
Space group Fm-3m (No. 225)
Asymmetric unit:
Mg: 0.000 0.000 0.000 x4
Rh: 0.250 0.250 0.250 x8
N: 0.000 0.000 0.500 x4

Calculated values
* E_form (uncorrected): 0.888 eV per atom
* theoretical density: 8.28 g/cm3